A relaxed structure of CsPaPb2Se5. Source: Alexandria, functional PBE-GGA.

a b c (Å): 5.443 7.870 8.741
angles (deg): 116.76 108.14 90.00
Positions (direct):
1 Se 0.640 0.375 0.280
2 Se 0.360 0.095 0.720
3 Se 0.640 0.905 0.280
4 Se 0.000 0.000 0.000
5 Se 0.360 0.625 0.720
6 Pa 0.500 0.000 0.000
7 Pb 0.788 0.788 0.576
8 Pb 0.212 0.212 0.424
9 Cs 0.000 0.500 0.000

* space group: Immm, No. 71
* uncorrected energy: -43.690 eV per cell
* volume: 313.39 Å³/cell
* E_form (uncorrected): -0.945 eV/atom


A relaxed structure of TaH2W. Source: Alexandria, functional PBE-GGA.

a b c (Å): 2.734 4.828 7.427
angles (deg): 111.23 90.00 90.00
Positions (direct):
1 W 0.250 0.229 0.930
2 W 0.750 0.771 0.070
3 H 0.750 0.988 0.726
4 H 0.750 0.348 0.565
5 H 0.250 0.012 0.274
6 H 0.250 0.652 0.435
7 Ta 0.750 0.355 0.298
8 Ta 0.250 0.645 0.702

* space group: P2_1/m, No. 11
* uncorrected energy: -61.161 eV per cell
* volume: 91.40 Å³/cell
* energy above the lowest structure with this stoichiometry: 122 meV/atom


A relaxed structure of MgSiRu2. Source: Alexandria, functional PBE-GGA.

a b c (Å): 4.321 4.321 4.321
angles (deg): 60.00 60.00 60.00
Positions (direct):
1 Ru 0.250 0.250 0.250
2 Ru 0.000 0.000 0.000
3 Mg 0.500 0.500 0.500
4 Si 0.750 0.750 0.750

* space group: F-43m, No. 216
* uncorrected energy: -25.381 eV per cell
* volume: 57.07 Å³/cell
* E_form (uncorrected): 0.047 eV/atom


A relaxed structure of AcGe2Ru. Source: Alexandria, functional PBE-GGA.

a b c (Å): 4.389 5.944 4.388
angles (deg): 70.62 56.02 70.61
Positions (direct):
1 Ge 0.967 0.117 0.967
2 Ge 0.533 0.383 0.533
3 Ac 0.750 0.750 0.750
4 Ru 0.250 0.250 0.250

* space group: C2/m, No. 12
* uncorrected energy: -24.786 eV per cell
* volume: 87.96 Å³/cell
* energy above the lowest structure with this stoichiometry: 0 meV/atom


A relaxed structure of Er2CuO4. Source: Alexandria, functional PBE-GGA.

a b c (Å): 6.477 6.477 5.465
angles (deg): 90.00 90.00 130.05
Each line ends with the local moment (μB).
Positions (direct):
1 Cu 0.500 0.500 0.500  0.20
2 Cu 0.000 0.000 0.000  0.20
3 O 0.696 0.696 0.197  0.06
4 O 0.196 0.196 0.303  0.06
5 O 0.510 0.010 0.250  0.00
6 O 0.990 0.490 0.750  0.00
7 O 0.304 0.304 0.803  0.06
8 O 0.010 0.510 0.250  0.00
9 O 0.490 0.990 0.750  0.00
10 O 0.804 0.804 0.697  0.06
11 Er 0.155 0.845 0.500  0.00
12 Er 0.845 0.155 0.500  0.00
13 Er 0.345 0.655 0.000  0.00
14 Er 0.655 0.345 0.000  0.00

* space group: Cmce, No. 64
* uncorrected energy: -104.367 eV per cell
* volume: 175.50 Å³/cell
* E_form (uncorrected): -2.733 eV/atom


A relaxed structure of PaNiOs. Source: Alexandria, functional PBE-GGA.

a b c (Å): 3.931 4.510 7.831
angles (deg): 116.27 90.00 115.84
Positions (direct):
1 Os 0.500 0.000 0.500
2 Os 0.000 0.000 0.000
3 Pa 0.758 0.516 0.213
4 Pa 0.242 0.484 0.787
5 Ni 0.150 0.299 0.400
6 Ni 0.850 0.701 0.600

* space group: C2/m, No. 12
* uncorrected energy: -54.686 eV per cell
* volume: 108.79 Å³/cell
* energy above the lowest structure with this stoichiometry: 130 meV/atom


A relaxed structure of K2PdAuO. Source: Alexandria, functional PBE-GGA.

a b c (Å): 5.735 5.735 3.892
angles (deg): 90.00 90.00 90.00
Each line ends with the local moment (μB).
Positions (direct):
1 Au 0.500 0.500 0.500  0.00
2 O 0.000 0.000 0.000  0.22
3 K 0.000 0.500 0.000  0.00
4 K 0.500 0.000 0.000  0.00
5 Pd 0.000 0.000 0.500  0.35

* space group: P4/mmm, No. 123
* uncorrected energy: -18.291 eV per cell
* volume: 128.03 Å³/cell
* E_form (uncorrected): -0.533 eV/atom


A relaxed structure of Sr3TlPt. Source: Alexandria, functional PBE-GGA.

a b c (Å): 4.575 8.877 9.779
angles (deg): 72.07 76.47 75.07
Positions (direct):
1 Tl 0.571 0.281 0.578
2 Tl 0.429 0.719 0.422
3 Sr 0.863 0.562 0.712
4 Sr 0.173 0.962 0.691
5 Sr 0.137 0.438 0.288
6 Sr 0.827 0.038 0.309
7 Sr 0.403 0.241 0.953
8 Sr 0.597 0.759 0.047
9 Pt 0.768 0.387 0.077
10 Pt 0.232 0.613 0.923

* space group: C2/m, No. 12
* uncorrected energy: -32.184 eV per cell
* volume: 359.86 Å³/cell
* energy above the lowest structure with this stoichiometry: 0 meV/atom


A relaxed structure of Li2CeHoAu4. Source: Alexandria, functional PBE-GGA.

a b c (Å): 4.604 4.604 9.511
angles (deg): 75.99 75.99 60.00
Each line ends with the local moment (μB).
Positions (direct):
1 Li 0.754 0.754 0.737  0.00
2 Li 0.246 0.246 0.263  0.00
3 Au 0.609 0.609 0.174  0.00
4 Au 0.391 0.391 0.826  0.00
5 Au 0.114 0.114 0.658  0.00
6 Au 0.886 0.886 0.342  0.00
7 Ce 0.000 0.000 0.000  0.76
8 Ho 0.500 0.500 0.500  0.03

* space group: R-3m, No. 166
* uncorrected energy: -32.783 eV per cell
* volume: 167.60 Å³/cell


A relaxed structure of Ba2Sr2Rh. Source: Alexandria, functional PBE-GGA.

a b c (Å): 7.914 7.914 6.954
angles (deg): 90.00 90.00 90.00
Positions (direct):
1 Ba 0.685 0.815 0.500
2 Ba 0.815 0.315 0.500
3 Ba 0.315 0.185 0.500
4 Ba 0.185 0.685 0.500
5 Rh 0.000 0.000 0.000
6 Rh 0.500 0.500 0.000
7 Sr 0.673 0.173 0.000
8 Sr 0.173 0.327 0.000
9 Sr 0.327 0.827 0.000
10 Sr 0.827 0.673 0.000

* space group: P4/mbm, No. 127
* uncorrected energy: -28.025 eV per cell
* volume: 435.50 Å³/cell
* energy above the lowest structure with this stoichiometry: 235 meV/atom


A relaxed structure of LiNd4In3. Source: Alexandria, functional PBE-GGA.

a b c (Å): 5.389 5.389 8.810
angles (deg): 107.84 107.84 89.99
Positions (direct):
1 Li 0.500 0.000 0.000
2 Nd 0.875 0.875 0.750
3 Nd 0.375 0.375 0.750
4 Nd 0.625 0.625 0.250
5 Nd 0.125 0.125 0.250
6 In 0.253 0.753 0.506
7 In 0.747 0.247 0.494
8 In 0.000 0.500 0.000

* space group: I4/mmm, No. 139
* uncorrected energy: -32.314 eV per cell
* volume: 230.62 Å³/cell


A relaxed structure of Mg3Ta5. Source: Alexandria, functional PBE-GGA.

a b c (Å): 5.910 5.910 4.351
angles (deg): 90.00 90.00 101.66
Positions (direct):
1 Ta 0.778 0.222 0.500
2 Ta 0.500 0.000 0.000
3 Ta 0.000 0.000 0.000
4 Ta 0.000 0.500 0.000
5 Ta 0.222 0.778 0.500
6 Mg 0.725 0.725 0.500
7 Mg 0.500 0.500 0.000
8 Mg 0.275 0.275 0.500

* space group: Cmmm, No. 65
* uncorrected energy: -61.930 eV per cell
* volume: 148.81 Å³/cell
* energy above the lowest structure with this stoichiometry: 0 meV/atom


A relaxed structure of Zn2AgMo2. Source: Alexandria, functional PBE-GGA.

a b c (Å): 7.481 7.481 2.971
angles (deg): 90.00 90.00 90.00
Positions (direct):
1 Zn 0.818 0.682 0.000
2 Zn 0.182 0.318 0.000
3 Zn 0.682 0.182 0.000
4 Zn 0.318 0.818 0.000
5 Mo 0.111 0.611 0.500
6 Mo 0.611 0.889 0.500
7 Mo 0.889 0.389 0.500
8 Mo 0.389 0.111 0.500
9 Ag 0.000 0.000 0.000
10 Ag 0.500 0.500 0.000

* space group: P4/mbm, No. 127
* uncorrected energy: -50.361 eV per cell
* volume: 166.26 Å³/cell


A relaxed structure of La6Pr5Tm. Source: Alexandria, functional PBE-GGA.

a b c (Å): 6.408 7.424 9.825
angles (deg): 67.80 89.58 89.93
Positions (direct):
1 Pr 0.335 0.333 0.333
2 Pr 0.000 0.500 0.000
3 Pr 0.665 0.667 0.667
4 Pr 0.332 0.834 0.332
5 Pr 0.668 0.166 0.668
6 La 0.835 0.083 0.331
7 La 0.500 0.754 0.000
8 La 0.165 0.917 0.669
9 La 0.835 0.586 0.331
10 La 0.500 0.246 0.000
11 La 0.165 0.414 0.669
12 Tm 0.000 0.000 0.000

* space group: P-1, No. 2
* uncorrected energy: -57.769 eV per cell
* volume: 432.77 Å³/cell
* energy above the lowest structure with this stoichiometry: 3 meV/atom


A relaxed structure of NaTcBr4. Source: Alexandria, functional PBE-GGA.

a b c (Å): 7.426 7.388 9.310
angles (deg): 104.08 104.22 112.68
Each line ends with the local moment (μB).
Positions (direct):
1 Tc 0.934 0.684 0.868  3.11
2 Tc 0.066 0.316 0.132  3.11
3 Br 0.826 0.578 0.093  0.07
4 Br 0.604 0.380 0.659  0.09
5 Br 0.267 0.014 0.093  0.07
6 Br 0.174 0.422 0.907  0.07
7 Br 0.396 0.620 0.341  0.09
8 Br 0.944 0.221 0.341  0.09
9 Br 0.733 0.986 0.907  0.07
10 Br 0.056 0.779 0.659  0.09
11 Na 0.431 0.181 0.861  0.01
12 Na 0.569 0.819 0.139  0.01

* space group: C2/c, No. 15
* uncorrected energy: -44.311 eV per cell
* volume: 422.97 Å³/cell
* E_form (uncorrected): -0.630 eV/atom


A relaxed structure of Zr3HgC. Source: Alexandria, functional PBE-GGA.

a b c (Å): 4.933 12.584 6.834
angles (deg): 90.00 90.00 90.00
Each line ends with the local moment (μB).
Positions (direct):
1 Zr 0.500 0.250 0.908  0.02
2 Zr 0.500 0.120 0.387  0.35
3 Zr 0.500 0.750 0.092  0.02
4 Zr 0.500 0.620 0.613  0.35
5 Zr 0.000 0.250 0.592  0.02
6 Zr 0.000 0.120 0.113  0.35
7 Zr 0.000 0.380 0.113  0.35
8 Zr 0.000 0.750 0.408  0.02
9 Zr 0.500 0.380 0.387  0.35
10 Zr 0.000 0.620 0.887  0.35
11 Zr 0.500 0.880 0.613  0.35
12 Zr 0.000 0.880 0.887  0.35
13 C 0.000 0.750 0.093  -0.01
14 C 0.500 0.750 0.407  -0.01
15 C 0.500 0.250 0.593  -0.01
16 C 0.000 0.250 0.907  -0.01
17 Hg 0.000 0.000 0.500  0.02
18 Hg 0.500 0.500 0.000  0.01
19 Hg 0.000 0.500 0.500  0.01
20 Hg 0.500 0.000 0.000  0.01

* space group: Imma, No. 74
* uncorrected energy: -142.363 eV per cell
* volume: 424.25 Å³/cell
* energy above the lowest structure with this stoichiometry: 420 meV/atom


A relaxed structure of NdTmHgRu. Source: Alexandria, functional PBE-GGA.

a b c (Å): 3.504 3.504 7.625
angles (deg): 90.00 90.00 90.00
Positions (direct):
1 Nd 0.500 0.500 0.790
2 Tm 0.500 0.500 0.350
3 Ru 0.000 0.000 0.555
4 Hg 0.000 0.000 0.090

* space group: P4mm, No. 99
* uncorrected energy: -20.504 eV per cell
* volume: 93.60 Å³/cell
* energy above the lowest structure with this stoichiometry: 0 meV/atom


A relaxed structure of Tl2HgSb2. Source: Alexandria, functional PBE-GGA.

a b c (Å): 3.342 4.167 11.164
angles (deg): 100.69 90.00 90.00
Positions (direct):
1 Tl 0.500 0.404 0.804
2 Tl 0.500 0.596 0.196
3 Hg 0.000 0.000 0.000
4 Sb 0.000 0.203 0.405
5 Sb 0.000 0.797 0.595

* space group: P2/m, No. 10
* uncorrected energy: -13.119 eV per cell
* volume: 152.75 Å³/cell
* E_form (uncorrected): 0.032 eV/atom
* energy above the lowest structure with this stoichiometry: 17 meV/atom


A relaxed structure of LiPdI. Source: Alexandria, functional PBE-GGA.

a b c (Å): 13.280 4.517 4.517
angles (deg): 120.11 132.73 47.27
Positions (direct):
1 Pd 0.492 0.066 0.934
2 Pd 0.304 0.650 0.350
3 Li 0.428 0.819 0.181
4 Li 0.956 0.114 0.886
5 I 0.807 0.645 0.355
6 I 0.183 0.479 0.521

* space group: Cm, No. 8
* uncorrected energy: -20.365 eV per cell
* volume: 145.76 Å³/cell
* E_form (uncorrected): -0.509 eV/atom
* energy above the lowest structure with this stoichiometry: 49 meV/atom


A relaxed structure of Ga2Pd2Br. Source: Alexandria, functional PBE-GGA.

a b c (Å): 7.399 7.399 3.239
angles (deg): 90.00 90.00 90.00
Positions (direct):
1 Ga 0.850 0.350 0.500
2 Ga 0.150 0.650 0.500
3 Ga 0.350 0.150 0.500
4 Ga 0.650 0.850 0.500
5 Pd 0.859 0.641 0.000
6 Pd 0.359 0.859 0.000
7 Pd 0.141 0.359 0.000
8 Pd 0.641 0.141 0.000
9 Br 0.000 0.000 0.000
10 Br 0.500 0.500 0.000

* space group: P4/mbm, No. 127
* uncorrected energy: -39.273 eV per cell
* volume: 177.31 Å³/cell
* E_form (uncorrected): -0.305 eV/atom
* energy above the lowest structure with this stoichiometry: 0 meV/atom


A relaxed structure of La8CuNi3I4. Source: Alexandria, functional PBE-GGA.

a b c (Å): 8.392 9.574 8.545
angles (deg): 116.96 119.41 90.00
Positions (direct):
1 Cu 0.000 0.500 0.000
2 La 0.280 0.314 0.044
3 La 0.720 0.686 0.956
4 La 0.234 0.685 0.468
5 La 0.764 0.314 0.044
6 La 0.269 0.313 0.538
7 La 0.766 0.315 0.532
8 La 0.731 0.687 0.462
9 La 0.236 0.686 0.956
10 Ni 0.500 0.500 0.500
11 Ni 0.500 0.500 0.000
12 Ni 0.000 0.500 0.500
13 I 0.500 0.000 0.000
14 I 0.500 0.000 0.500
15 I 0.000 0.000 0.000
16 I 0.000 0.000 0.500

* space group: C2/m, No. 12
* uncorrected energy: -78.026 eV per cell
* volume: 510.69 Å³/cell
* E_form (uncorrected): -0.685 eV/atom


A relaxed structure of BaScAsBr2. Source: Alexandria, functional PBE-GGA.

a b c (Å): 5.878 5.162 5.878
angles (deg): 90.00 90.00 90.00
Each line ends with the local moment (μB).
Positions (direct):
1 Sc 0.000 0.500 0.000  0.60
2 Br 0.000 0.000 0.500  0.02
3 Br 0.500 0.000 0.000  0.01
4 Ba 0.500 0.500 0.500  0.14
5 As 0.000 0.000 0.000  -0.03

* space group: P4/mmm, No. 123
* uncorrected energy: -18.465 eV per cell
* volume: 178.34 Å³/cell
* E_form (uncorrected): -0.443 eV/atom
* energy above the lowest structure with this stoichiometry: 962 meV/atom


A relaxed structure of RbBeRePd2. Source: Alexandria, functional PBE-GGA.

a b c (Å): 5.002 5.429 5.002
angles (deg): 90.00 90.00 90.00
Each line ends with the local moment (μB).
Positions (direct):
1 Pd 0.000 0.000 0.500  0.10
2 Pd 0.500 0.000 0.000  0.13
3 Be 0.500 0.500 0.500  -0.03
4 Rb 0.000 0.000 0.000  0.05
5 Re 0.000 0.500 0.000  3.14

* space group: P4/mmm, No. 123
* uncorrected energy: -13.056 eV per cell
* volume: 135.81 Å³/cell


A relaxed structure of CaCuRh2. Source: Alexandria, functional PBE-GGA.

a b c (Å): 3.181 3.179 6.576
angles (deg): 90.00 90.00 90.00
Each line ends with the local moment (μB).
Positions (direct):
1 Cu 0.500 0.500 0.750  0.08
2 Rh 0.000 0.000 0.547  0.16
3 Rh 0.000 0.000 0.953  0.16
4 Ca 0.500 0.500 0.250  -0.01

* space group: P4/mmm, No. 123
* uncorrected energy: -20.733 eV per cell
* volume: 66.52 Å³/cell
* energy above the lowest structure with this stoichiometry: 60 meV/atom